Record 1
4
Lattice="0.0000 3.6809 3.6809 3.6809 0.0000 3.6809 3.6809 3.6809 0.0000" Properties=species:S:1:pos:R:3 comment="Y2NbBi GGA-PBE optimized geometry" e_tot_ev_per_atom=-6.6532 sg="F-43m (216)" total_magnetization_mub_per_fu=2.0 mass_density_g_cm3=8.0 pbc="T T T"
Bi 3.6809 3.6809 3.6809
Nb 1.8404 1.8404 1.8404
Y 0.0000 0.0000 0.0000
Y 5.5213 5.5213 5.5213

***

Record 2
4
Lattice="-3.7779 -3.4044 -0.8629 -1.6031 -3.0929 3.8040 -4.6485 0.7138 2.1185" Properties=species:S:1:pos:R:3 comment="NbZnBi2 GGA-PBE optimized geometry" e_tot_ev_per_atom=-4.2317 sg="F-43m (216)" total_magnetization_mub_per_fu=1.9 mass_density_g_cm3=9.9 pbc="T T T"
Bi 0.0000 0.0000 0.0000
Bi -7.5221 -4.3376 3.7947
Nb -5.0147 -2.8917 2.5298
Zn -2.5074 -1.4459 1.2649

***

Record 3
4
Lattice="-2.5288 2.6368 3.2507 -2.4405 3.9819 -1.4501 -4.8891 -0.0303 -0.1004" Properties=species:S:1:pos:R:3 comment="ZrNb2Bi GGA-PBE optimized geometry" e_tot_ev_per_atom=-8.0455 sg="F-43m (216)" total_magnetization_mub_per_fu=0.0 mass_density_g_cm3=9.8 pbc="T T T"
Bi -4.9292 3.2942 0.8501
Nb 0.0000 0.0000 0.0000
Nb -7.3938 4.9413 1.2751
Zr -2.4646 1.6471 0.4250

***

Record 4
4
Lattice="0.0000 3.6324 3.6324 3.6324 0.0000 3.6324 3.6324 3.6324 0.0000" Properties=species:S:1:pos:R:3 comment="ZrNbBi2 GGA-PBE optimized geometry" e_tot_ev_per_atom=-6.3463 sg="F-43m (216)" total_magnetization_mub_per_fu=0.8 mass_density_g_cm3=10.4 pbc="T T T"
Bi 0.0000 0.0000 0.0000
Bi 1.8162 1.8162 1.8162
Nb 5.4486 5.4486 5.4486
Zr 3.6324 3.6324 3.6324

***

Record 5
6
Lattice="-0.6340 -6.4397 0.6950 1.3419 -2.8036 5.7179 -4.8160 -2.4209 3.6470" Properties=species:S:1:pos:R:3 comment="NdBi2 GGA-PBE optimized geometry" e_tot_ev_per_atom=-4.4980 sg="Fd-3m (227)" total_magnetization_mub_per_fu=0.5 mass_density_g_cm3=9.6 pbc="T T T"
Bi -0.1595 -6.0797 4.4639
Bi -3.2385 -5.8884 3.4284
Bi -2.2506 -4.0703 5.9399
Bi -2.5675 -7.2902 6.2874
Nd 0.0000 0.0000 0.0000
Nd -1.0270 -2.9161 2.5150

***

Record 6
20
Lattice="3.0608 -9.6833 -7.2926 -3.2039 -9.5684 7.3822 -1.0902 9.5978 -7.9380" Properties=species:S:1:pos:R:3 comment="Nd3Bi7 GGA-PBE optimized geometry" e_tot_ev_per_atom=-4.8375 sg="Immm (71)" total_magnetization_mub_per_fu=0.0 mass_density_g_cm3=9.8 pbc="T T T"
Bi 0.0000 0.0000 0.0000
Bi -0.0715 -9.6259 0.0448
Bi 0.3742 -5.8514 -3.2000
Bi 0.3178 -13.4366 -3.1647
Bi 0.5939 -9.6548 -5.0982
Bi 0.6954 -1.6888 -5.4618
Bi -2.4839 -7.9411 1.9050
Bi 0.9424 -5.8211 -7.5884
Bi -2.1756 -3.8329 -0.2600
Bi 1.2506 -1.7129 -9.7533
Bi -1.9286 -7.9652 -2.3865
Bi -1.8272 0.0008 -2.7501
Bi -1.5511 3.7826 -4.6837
Bi -1.6075 -3.8026 -4.6484
Nd -0.0468 -6.3049 0.0294
Nd -0.0962 -12.9469 0.0603
Nd 0.2525 -2.5565 -2.0858
Nd -2.9136 -7.0355 5.2727
Nd 1.6803 -2.6185 -13.1211
Nd -1.4858 -7.0975 -5.7626

***

What is the formula in the sixth record?
Nd3Bi7